Record 1
A relaxed structure of HfCrAgS4. Source: Alexandria, functional PBE-GGA.

POSCAR file:
```
HfCrAgS4
1.0
6.1109 0.0000 0.0000
0.0000 3.5955 0.0000
-0.1554 0.0000 6.5415
Hf Cr Ag S
1 1 1 4
Cartesian
0.0000 0.0000 0.0000
3.0554 1.7977 0.0000
2.9777 1.7977 3.2707
1.0615 1.7977 1.4374
1.9675 0.0000 5.1572
3.9880 0.0000 1.3843
4.8939 1.7977 5.1040
```

Summary:
M_tot ... 3.0 μB per formula unit
Space group ... P2/m (10)
Relative energy among the computed polymorphs ... 1.66 kJ per mole of atoms
Calculated volume ... 20.53 A^3/atom

=====

Record 2
A relaxed structure of CaSc2Al. Source: Alexandria, functional PBE-GGA.

POSCAR file:
```
CaSc2Al
1.0
-1.7414 2.6318 5.4973
1.7414 -2.6318 5.4973
1.7414 2.6318 -5.4973
Ca Sc Al
1 2 1
Cartesian
0.0000 0.0000 0.0000
1.7414 0.0000 3.1507
0.0000 2.6318 2.3466
0.0000 0.0000 5.4973
```

Summary:
Energy relative to the elements ... -109.4 meV/atom
M_tot ... 0.0 μB per formula unit
Space group ... Immm (71)
Calculated volume ... 25.19 A^3/atom

=====

Record 3
A relaxed structure of TaNbCO2. Source: Alexandria, functional PBE-GGA.

POSCAR file:
```
TaNbCO2
1.0
3.9021 0.0000 0.0000
0.0000 3.9021 0.0000
0.0000 0.0000 4.1562
Ta Nb C O
1 1 1 2
Cartesian
0.0000 0.0000 0.0000
1.9511 1.9511 0.0000
0.0000 0.0000 2.0781
0.0000 1.9511 2.0781
1.9511 0.0000 2.0781
```

Summary:
M_tot ... 0.0 μB per formula unit
Space group ... P4/mmm (123)
Calculated volume ... 12.66 A^3/atom
E_tot ... -7.229 eV per atom

=====

Record 4
A relaxed structure of Bi2Sb3Pb8. Source: Alexandria, functional PBE-GGA.

POSCAR file:
```
Bi2Sb3Pb8
1.0
5.5108 -7.8548 0.0000
5.5108 7.8548 0.0000
0.0000 0.0000 5.3377
Bi Sb Pb
2 3 8
Cartesian
5.5108 4.1599 0.0000
5.5108 -4.1599 0.0000
2.5385 0.0000 2.6688
5.5108 0.0000 0.0000
8.4830 0.0000 2.6688
5.5108 5.9621 2.6688
2.9117 1.9048 0.0000
5.5108 1.8638 2.6688
2.9117 -1.9048 0.0000
8.1098 1.9048 0.0000
5.5108 -1.8638 2.6688
8.1098 -1.9048 0.0000
5.5108 -5.9621 2.6688
```

Summary:
M_tot ... 0.0 μB per formula unit
Space group ... Cmmm (65)
Calculated volume ... 35.55 A^3/atom
E_tot ... -3.763 eV per atom